## NaLaCrPt2 (PBE)

Data for an optimized crystal structure of NaLaCrPt2.

Cell: 4.8514 4.8514 4.7546 Å, 90.00 90.00 90.00°
Positions (direct):
Na 0.0000 0.0000 0.0000
La 0.5000 0.5000 0.0000
Cr 0.0000 0.0000 0.5000
Pt 0.0000 0.5000 0.5000
Pt 0.5000 0.0000 0.5000

Summary:
Symmetry: No. 123
DOS at the Fermi energy: 1.43 states/eV/atom
Uncorrected energy: -5.520 eV/atom
Theoretical density: 8.96 g/cm³
Total moment: 2.91 Bohr magnetons per cell
Energy relative to the elements: 0.07 eV per atom